Entry from the Alexandria database: a relaxed Rb4NpO4 crystal (GGA-PBE).

Results
- Relative energy among the computed polymorphs: 45 meV per atom
- Formation energy from raw total energies: -1636 meV per atom
- Spin magnetization: 4.56 μB/cell

Structure (CIF):
```
data_Rb4NpO4
_cell_length_a 9.321
_cell_length_b 9.321
_cell_length_c 9.070
_cell_angle_alpha 90.00
_cell_angle_beta 90.00
_cell_angle_gamma 90.00
_symmetry_space_group_name_H-M 'I -4 2 m'
_symmetry_Int_Tables_number 121
_symmetry_space_group_name_Hall 'I -4 2'
loop_
_atom_site_label
_atom_site_type_symbol
_atom_site_fract_x
_atom_site_fract_y
_atom_site_fract_z
_atom_site_occupancy
Rb1 Rb 0.225 0.225 0.360 1
Np1 Np 0.000 0.000 0.000 1
O1 O 0.140 0.140 0.092 1
```